## Rb3Sm3DySe8 (PBE-GGA)

Data for a relaxed Rb3Sm3DySe8 crystal.

Calculated values
The value obtained for the total energy is -4.96 eV per atom. The density of states at the Fermi level is 10.5 states/eV/cell. The calculation puts the total magnetic moment at 0.00 μB per cell.

a b c (Å): 8.506 8.506 9.549
angles (deg): 116.51 116.51 59.95
Sites, in units of the cell vectors:
Rb1 0.000 0.000 0.000
Rb2 0.000 0.500 0.000
Rb3 0.500 0.000 0.000
Sm1 0.000 0.500 0.500
Sm2 0.500 0.000 0.500
Sm3 0.500 0.500 0.500
Dy1 0.000 0.000 0.500
Se1 0.229 0.229 0.694
Se2 0.229 0.737 0.694
Se3 0.263 0.771 0.306
Se4 0.267 0.267 0.301
Se5 0.733 0.733 0.699
Se6 0.737 0.229 0.694
Se7 0.771 0.263 0.306
Se8 0.771 0.771 0.306